VASP calculation (PBE+U) on a geometry-optimized Pr2GaCoO6 structure.

Structure (POSCAR):
```
Pr2GaCoO6
1.0
5.473 0.000 0.000
0.000 5.485 0.000
-5.445 0.000 7.729
Pr Ga Co O
4 2 2 12
Direct
0.240 0.038 0.249
0.240 0.462 0.749
0.760 0.538 0.251
0.760 0.962 0.751
0.500 0.000 0.000
0.500 0.500 0.500
0.000 0.000 0.500
0.000 0.500 0.000
0.174 0.220 0.959
0.174 0.280 0.459
0.238 0.715 0.959
0.238 0.785 0.459
0.322 0.012 0.747
0.322 0.488 0.247
0.678 0.512 0.753
0.678 0.988 0.253
0.762 0.215 0.541
0.762 0.285 0.041
0.826 0.720 0.541
0.826 0.780 0.041
```

E in eV for the cell shown: -142.509